1.
DFT (PBE) results for Pr12YHo5 after structural relaxation.

Cell and atoms, written as POSCAR:
```
Pr12YHo5
1.0
15.462 -0.011 0.009
7.725 7.771 0.004
-0.003 0.000 5.186
Pr Y Ho
12 1 5
direct
0.835 0.000 0.500
0.165 0.000 0.500
0.664 0.000 0.000
0.336 0.000 0.000
0.332 0.666 0.000
0.002 0.666 0.000
0.998 0.334 0.000
0.668 0.334 0.000
0.498 0.333 0.500
0.831 0.667 0.500
0.169 0.333 0.500
0.502 0.667 0.500
0.000 0.000 0.000
0.500 0.000 0.500
0.167 0.666 0.500
0.833 0.334 0.500
0.667 0.666 0.000
0.333 0.334 0.000
```

Results
**Magnetic moment**: 0.00 μB per cell
**Energy of formation from the pure elements**: 2.20 kJ/mol of atoms

=====

2.
DFT (PBE) results for Pr4Y3Ho after structural relaxation.

Cell and atoms, written as POSCAR:
```
Pr4Y3Ho
1.0
3.482 0.000 -0.439
-0.178 6.739 -1.409
-0.252 -0.928 12.021
Pr Y Ho
4 3 1
direct
0.741 0.236 0.481
0.259 0.764 0.519
0.123 0.368 0.246
0.877 0.632 0.754
0.000 0.500 0.000
0.122 0.881 0.244
0.878 0.119 0.756
0.500 0.000 0.000
```

Results
**Magnetic moment**: 0.00 μB per cell
**Energy of formation from the pure elements**: 15.73 kJ/mol of atoms

=====

3.
DFT (PBE) results for Pr3YHo3 after structural relaxation.

Cell and atoms, written as POSCAR:
```
Pr3YHo3
1.0
-4.697 0.723 3.333
-3.860 -8.092 -3.683
5.556 -0.455 7.929
Pr Y Ho
6 2 6
direct
0.750 0.757 0.804
0.750 0.047 0.243
0.750 0.196 0.952
0.250 0.243 0.196
0.250 0.953 0.757
0.250 0.804 0.048
0.750 0.333 0.667
0.250 0.667 0.333
0.250 0.521 0.616
0.250 0.095 0.479
0.250 0.384 0.905
0.750 0.479 0.384
0.750 0.905 0.521
0.750 0.616 0.095
```

Results
**Magnetic moment**: 0.00 μB per cell
**Energy of formation from the pure elements**: 2.26 kJ/mol of atoms

=====

4.
DFT (PBE) results for Pr4YHo6 after structural relaxation.

Cell and atoms, written as POSCAR:
```
Pr4YHo6
1.0
7.511 -2.916 -5.498
-5.186 8.045 1.880
-1.880 2.916 9.117
Pr Y Ho
4 1 6
direct
0.000 0.633 0.014
0.380 0.367 0.367
0.000 0.014 0.633
0.620 0.986 0.986
0.000 0.000 0.000
0.000 0.800 0.446
0.000 0.446 0.800
0.355 0.554 0.554
0.500 0.500 0.000
0.645 0.200 0.200
0.500 0.000 0.500
```

Results
**Magnetic moment**: 0.00 μB per cell
**Energy of formation from the pure elements**: 28.59 kJ/mol of atoms

=====

5.
DFT (PBE) results for Pr7Y3Ho2 after structural relaxation.

Cell and atoms, written as POSCAR:
```
Pr7Y3Ho2
1.0
3.654 0.000 0.000
0.000 5.930 -0.259
0.000 -3.823 19.356
Pr Y Ho
7 3 2
direct
0.500 0.723 0.465
0.500 0.277 0.535
0.000 0.470 0.146
0.000 0.000 0.000
0.000 0.530 0.854
0.500 0.994 0.816
0.500 0.006 0.184
0.500 0.500 0.000
0.000 0.148 0.367
0.000 0.852 0.633
0.500 0.590 0.298
0.500 0.410 0.702
```

Results
**Magnetic moment**: 0.00 μB per cell
**Energy of formation from the pure elements**: 8.45 kJ/mol of atoms

=====

6.
DFT (PBE) results for Pr10YHo4 after structural relaxation.

Cell and atoms, written as POSCAR:
```
Pr10YHo4
1.0
9.942 0.000 4.489
4.971 7.151 2.245
2.028 0.000 8.762
Pr Y Ho
10 1 4
direct
0.250 0.500 0.500
0.714 0.348 0.893
0.938 0.107 0.348
0.394 0.893 0.652
0.954 0.652 0.107
0.286 0.652 0.107
0.750 0.500 0.500
0.046 0.348 0.893
0.606 0.107 0.348
0.062 0.893 0.652
0.000 0.000 0.000
0.555 0.669 0.222
0.777 0.778 0.669
0.223 0.222 0.331
0.445 0.331 0.778
```

Results
**Magnetic moment**: 0.00 μB per cell
**Energy of formation from the pure elements**: 40.95 kJ/mol of atoms

=====

7.
DFT (PBE) results for Pr2YHo after structural relaxation.

Cell and atoms, written as POSCAR:
```
Pr2YHo
1.0
3.640 0.000 0.000
1.820 3.152 0.000
1.820 1.051 11.741
Pr Y Ho
2 1 1
direct
0.749 0.749 0.752
0.251 0.251 0.248
0.500 0.500 0.500
0.000 0.000 0.000
```

Results
**Magnetic moment**: 0.00 μB per cell
**Energy of formation from the pure elements**: 0.98 kJ/mol of atoms

=====

8.
DFT (PBE) results for Pr4YHo5 after structural relaxation.

Cell and atoms, written as POSCAR:
```
Pr4YHo5
1.0
5.982 0.000 0.000
2.991 7.598 0.000
2.991 0.000 7.598
Pr Y Ho
4 1 5
direct
0.454 0.324 0.676
0.778 0.676 0.676
0.131 0.324 0.324
0.455 0.676 0.324
0.214 0.000 0.000
0.758 0.378 0.000
0.136 0.000 0.622
0.758 0.000 0.378
0.136 0.622 0.000
0.690 0.000 0.000
```

Results
**Magnetic moment**: 0.00 μB per cell
**Energy of formation from the pure elements**: 23.02 kJ/mol of atoms

=====

9.
DFT (PBE) results for Pr5Y3Ho after structural relaxation.

Cell and atoms, written as POSCAR:
```
Pr5Y3Ho
1.0
3.177 10.577 1.390
-3.177 10.577 1.390
0.000 5.743 10.320
Pr Y Ho
10 6 2
direct
0.409 0.591 0.750
0.997 0.361 0.974
0.536 0.185 0.117
0.003 0.639 0.026
0.815 0.464 0.383
0.591 0.409 0.250
0.361 0.997 0.474
0.639 0.003 0.526
0.185 0.536 0.617
0.464 0.815 0.883
0.000 0.000 0.000
0.052 0.599 0.324
0.000 0.000 0.500
0.948 0.401 0.676
0.599 0.052 0.824
0.401 0.948 0.176
0.898 0.102 0.750
0.102 0.898 0.250
```

Results
**Magnetic moment**: 0.00 μB per cell
**Energy of formation from the pure elements**: 25.65 kJ/mol of atoms

=====

10.
DFT (PBE) results for Pr6Y2Ho after structural relaxation.

Cell and atoms, written as POSCAR:
```
Pr6Y2Ho
1.0
8.367 0.000 0.000
0.000 8.367 0.000
0.000 0.000 10.566
Pr Y Ho
12 4 2
direct
0.261 0.261 0.334
0.739 0.739 0.334
0.239 0.761 0.834
0.761 0.239 0.834
0.239 0.761 0.166
0.761 0.239 0.166
0.261 0.261 0.666
0.739 0.739 0.666
0.259 0.259 0.000
0.741 0.741 0.000
0.241 0.759 0.500
0.759 0.241 0.500
0.000 0.000 0.333
0.500 0.500 0.833
0.500 0.500 0.167
0.000 0.000 0.667
0.000 0.000 0.000
0.500 0.500 0.500
```

Results
**Magnetic moment**: 0.00 μB per cell
**Energy of formation from the pure elements**: 58.20 kJ/mol of atoms

=====

11.
DFT (PBE) results for Pr2Y2Ho5 after structural relaxation.

Cell and atoms, written as POSCAR:
```
Pr2Y2Ho5
1.0
-0.483 -2.875 -1.932
7.063 -3.140 2.905
-10.579 -0.655 6.787
Pr Y Ho
2 2 5
direct
0.818 0.780 0.636
0.182 0.220 0.364
0.547 0.738 0.094
0.453 0.262 0.906
0.691 0.851 0.381
0.309 0.149 0.619
0.904 0.542 0.807
0.096 0.458 0.193
0.000 0.000 0.000
```

Results
**Magnetic moment**: 0.00 μB per cell
**Energy of formation from the pure elements**: 21.89 kJ/mol of atoms

=====

12.
DFT (PBE) results for Pr3Y4Ho4 after structural relaxation.

Cell and atoms, written as POSCAR:
```
Pr3Y4Ho4
1.0
3.460 0.000 0.895
0.569 9.845 4.934
-0.993 0.460 10.972
Pr Y Ho
3 4 4
direct
0.892 0.108 0.108
0.108 0.892 0.892
0.000 0.500 0.500
0.671 0.090 0.569
0.329 0.431 0.910
0.329 0.910 0.431
0.671 0.569 0.090
0.777 0.723 0.723
0.223 0.277 0.277
0.500 0.792 0.208
0.500 0.208 0.792
```

Results
**Magnetic moment**: 0.00 μB per cell
**Energy of formation from the pure elements**: 16.57 kJ/mol of atoms

=====

13.
DFT (PBE) results for Pr6YHo after structural relaxation.

Cell and atoms, written as POSCAR:
```
Pr6YHo
1.0
0.668 -4.898 -3.995
4.943 0.067 3.996
-6.516 -1.894 4.662
Pr Y Ho
6 1 1
direct
0.623 0.123 0.246
0.877 0.377 0.754
0.251 0.251 0.502
0.123 0.623 0.246
0.377 0.877 0.754
0.749 0.749 0.498
0.000 0.000 0.000
0.500 0.500 0.000
```

Results
**Magnetic moment**: 0.00 μB per cell
**Energy of formation from the pure elements**: 1.48 kJ/mol of atoms

=====

14.
DFT (PBE) results for Pr2Y8Ho after structural relaxation.

Cell and atoms, written as POSCAR:
```
Pr2Y8Ho
1.0
-2.990 -0.681 -5.085
-0.561 -8.042 -4.211
-6.943 -5.728 2.041
Pr Y Ho
2 8 1
direct
0.000 0.306 0.388
0.000 0.694 0.612
0.835 0.098 0.229
0.835 0.327 0.771
0.298 0.422 0.000
0.500 0.792 0.417
0.500 0.208 0.583
0.702 0.578 0.000
0.165 0.673 0.229
0.165 0.902 0.771
0.500 0.000 0.000
```

Results
**Magnetic moment**: 0.00 μB per cell
**Energy of formation from the pure elements**: 14.97 kJ/mol of atoms

=====

15.
DFT (PBE) results for Pr4Y6Ho after structural relaxation.

Cell and atoms, written as POSCAR:
```
Pr4Y6Ho
1.0
-0.708 -5.709 0.844
3.354 1.928 -4.170
20.379 -0.113 16.338
Pr Y Ho
8 12 2
direct
0.844 0.688 0.546
0.469 0.939 0.123
0.156 0.312 0.454
0.531 0.061 0.877
0.844 0.688 0.954
0.156 0.312 0.046
0.531 0.061 0.623
0.469 0.939 0.377
0.500 0.000 0.000
0.500 0.000 0.500
0.144 0.288 0.317
0.856 0.712 0.683
0.856 0.712 0.817
0.144 0.288 0.183
0.810 0.620 0.393
0.190 0.380 0.607
0.190 0.380 0.893
0.810 0.620 0.107
0.481 0.962 0.250
0.519 0.038 0.750
0.815 0.630 0.250
0.185 0.370 0.750
```

Results
**Magnetic moment**: 0.00 μB per cell
**Energy of formation from the pure elements**: 11.03 kJ/mol of atoms

=====

16.
DFT (PBE) results for Pr7Y2Ho2 after structural relaxation.

Cell and atoms, written as POSCAR:
```
Pr7Y2Ho2
1.0
-3.672 -0.063 -4.972
3.687 -4.992 -5.358
-5.616 -5.777 1.522
Pr Y Ho
7 2 2
direct
0.181 0.049 0.586
0.819 0.414 0.951
0.819 0.951 0.414
0.181 0.586 0.049
0.000 0.000 0.000
0.801 0.425 0.425
0.199 0.575 0.575
0.500 0.788 0.212
0.500 0.212 0.788
0.588 0.770 0.770
0.412 0.230 0.230
```

Results
**Magnetic moment**: 0.00 μB per cell
**Energy of formation from the pure elements**: 12.79 kJ/mol of atoms

=====

17.
DFT (PBE) results for Pr2Y3Ho after structural relaxation.

Cell and atoms, written as POSCAR:
```
Pr2Y3Ho
1.0
-0.565 3.346 -0.400
-5.304 -0.410 4.068
10.440 3.432 13.959
Pr Y Ho
4 6 2
direct
0.500 0.762 0.150
0.000 0.262 0.350
0.000 0.738 0.650
0.500 0.238 0.850
0.000 0.000 0.000
0.500 0.500 0.500
0.500 0.743 0.823
0.500 0.257 0.177
0.000 0.243 0.677
0.000 0.757 0.323
0.000 0.000 0.500
0.500 0.500 0.000
```

Results
**Magnetic moment**: 0.00 μB per cell
**Energy of formation from the pure elements**: 24.00 kJ/mol of atoms

=====

18.
DFT (PBE) results for Pr6YHo5 after structural relaxation.

Cell and atoms, written as POSCAR:
```
Pr6YHo5
1.0
11.763 -1.578 0.000
1.929 6.001 0.000
0.964 3.000 5.459
Pr Y Ho
6 1 5
direct
0.749 0.084 0.334
0.251 0.582 0.334
0.251 0.251 0.000
0.749 0.749 0.000
0.749 0.418 0.666
0.251 0.916 0.666
0.000 0.000 0.000
0.500 0.167 0.667
0.000 0.333 0.333
0.500 0.500 0.000
0.000 0.667 0.667
0.500 0.833 0.333
```

Results
**Magnetic moment**: 0.00 μB per cell
**Energy of formation from the pure elements**: 1.09 kJ/mol of atoms

=====

19.
DFT (PBE) results for Pr7Y4Ho after structural relaxation.

Cell and atoms, written as POSCAR:
```
Pr7Y4Ho
1.0
-2.466 -1.138 5.467
1.950 -11.514 1.891
4.065 0.828 5.414
Pr Y Ho
7 4 1
direct
0.789 0.921 0.500
0.211 0.079 0.500
0.062 0.683 0.192
0.938 0.317 0.808
0.369 0.501 0.761
0.500 0.000 0.000
0.631 0.499 0.239
0.645 0.224 0.486
0.355 0.776 0.514
0.759 0.679 0.803
0.241 0.321 0.197
0.000 0.000 0.000
```

Results
**Magnetic moment**: 0.00 μB per cell
**Energy of formation from the pure elements**: 23.77 kJ/mol of atoms

=====

20.
DFT (PBE) results for Pr5YHo5 after structural relaxation.

Cell and atoms, written as POSCAR:
```
Pr5YHo5
1.0
6.151 0.000 0.000
-3.076 5.327 0.000
0.000 0.000 11.821
Pr Y Ho
5 1 5
direct
0.667 0.333 0.154
0.667 0.333 0.846
0.333 0.667 0.315
0.333 0.667 0.685
0.000 0.000 0.000
0.333 0.667 0.000
0.333 0.167 0.500
0.000 0.000 0.266
0.833 0.667 0.500
0.833 0.167 0.500
0.000 0.000 0.734
```

Results
**Magnetic moment**: 0.00 μB per cell
**Energy of formation from the pure elements**: 26.65 kJ/mol of atoms